Entry 1:
Compound: TaAlCr2
Source: Alexandria via LeMat-Bulk
Functional: GGA-PBE
Structure: relaxed

a b c (Å): 4.3486 4.3486 4.3486
angles (deg): 60.00 60.00 60.00
Sites, in units of the cell vectors:
Ta  0.0000  0.0000  0.0000
Al  0.2500  0.2500  0.2500
Cr  0.5000  0.5000  0.5000
Cr  0.7500  0.7500  0.7500

Summary:
- energy of formation from the pure elements (eV per atom) = 0.124
- final energy (eV per atom) = -8.587

***

Entry 2:
Compound: U2AlGa2
Source: Alexandria via LeMat-Bulk
Functional: GGA-PBE
Structure: relaxed

a b c (Å): 7.0927 7.0927 2.8995
angles (deg): 90.00 90.00 140.30
Sites, in units of the cell vectors:
U  0.0934  0.9066  0.0000
U  0.9066  0.0934  0.0000
Al  0.5000  0.5000  0.5000
Ga  0.2999  0.7001  0.5000
Ga  0.7001  0.2999  0.5000

Summary:
- energy of formation from the pure elements (eV per atom) = -0.212
- final energy (eV per atom) = -6.687